1.
A relaxed structure of CsLiNCl2, computed with PBE-GGA.

abc: 5.162 4.829 5.162
angles: 90.00 90.00 90.00
Site moments in Bohr magnetons follow the coordinates.
Fractional coordinates of all 5 atoms:
Cs (0.500, 0.500, 0.500)  0.01
N (0.000, 0.500, 0.000)  1.82
Li (0.000, 0.000, 0.000)  0.01
Cl (0.000, 0.000, 0.500)  0.09
Cl (0.500, 0.000, 0.000)  0.10

## Properties
The spin magnetization is 0.600 μB/atom. The calculation puts the total energy at -3.389 eV/atom. As for the space-group type: P4/mmm. For the uncorrected formation energy, the calculation gives -432 meV per atom.

2.
A relaxed structure of Cs2NaLiCl4, computed with PBE-GGA.

abc: 8.764 8.764 8.975
angles: 117.97 117.97 92.08
Fractional coordinates of all 16 atoms:
Cs (0.500, 0.000, 0.000)
Cs (0.500, 0.000, 0.500)
Cs (0.000, 0.000, 0.500)
Cs (0.500, 0.500, 0.000)
Na (0.000, 0.500, 0.000)
Na (0.000, 0.500, 0.500)
Li (0.500, 0.500, 0.500)
Li (0.000, 0.000, 0.000)
Cl (0.195, 0.737, 0.972)
Cl (0.763, 0.305, 0.528)
Cl (0.237, 0.695, 0.472)
Cl (0.805, 0.263, 0.028)
Cl (0.801, 0.772, 0.994)
Cl (0.728, 0.699, 0.506)
Cl (0.272, 0.301, 0.494)
Cl (0.199, 0.228, 0.006)

## Properties
The spin magnetization is 0.000 μB/atom. The calculation puts the total energy at -3.319 eV/atom. As for the space-group type: C2/c. For the uncorrected formation energy, the calculation gives -1778 meV per atom.

3.
A relaxed structure of Cs3NaLi2Cl6, computed with PBE-GGA.

abc: 7.684 7.684 8.841
angles: 90.00 90.00 120.00
Fractional coordinates of all 12 atoms:
Cs (0.333, 0.667, 0.640)
Cs (0.667, 0.333, 0.360)
Cs (0.000, 0.000, 0.000)
Na (0.000, 0.000, 0.500)
Li (0.667, 0.333, 0.752)
Li (0.333, 0.667, 0.248)
Cl (0.664, 0.832, 0.298)
Cl (0.168, 0.336, 0.298)
Cl (0.168, 0.832, 0.298)
Cl (0.832, 0.664, 0.702)
Cl (0.336, 0.168, 0.702)
Cl (0.832, 0.168, 0.702)

## Properties
The spin magnetization is 0.000 μB/atom. The calculation puts the total energy at -3.398 eV/atom. As for the space-group type: P-3m1. For the uncorrected formation energy, the calculation gives -1832 meV per atom.

4.
A relaxed structure of Cs2NaLiCl6, computed with PBE-GGA.

abc: 7.498 7.498 7.499
angles: 60.00 60.00 90.00
Site moments in Bohr magnetons follow the coordinates.
Fractional coordinates of all 10 atoms:
Cs (0.750, 0.250, 0.500)  0.00
Cs (0.250, 0.750, 0.500)  0.00
Na (0.000, 0.000, 0.000)  0.00
Li (0.500, 0.500, 0.000)  0.00
Cl (0.261, 0.261, 0.478)  0.26
Cl (0.739, 0.739, 0.522)  0.26
Cl (0.261, 0.261, 0.000)  0.26
Cl (0.739, 0.739, 0.000)  0.26
Cl (0.739, 0.261, 0.000)  0.25
Cl (0.261, 0.739, 0.000)  0.25

## Properties
The spin magnetization is 0.200 μB/atom. The calculation puts the total energy at -2.957 eV/atom. As for the space-group type: Fm-3m. For the uncorrected formation energy, the calculation gives -1355 meV per atom.

5.
A relaxed structure of Cs2NaLiCl, computed with PBE-GGA.

abc: 7.413 7.413 4.893
angles: 90.00 90.00 90.00
Fractional coordinates of all 5 atoms:
Cs (0.000, 0.500, 0.000)
Cs (0.500, 0.000, 0.000)
Na (0.500, 0.500, 0.500)
Li (0.000, 0.000, 0.500)
Cl (0.000, 0.000, 0.000)

## Properties
The spin magnetization is 0.000 μB/atom. The calculation puts the total energy at -1.971 eV/atom. As for the space-group type: P4/mmm. For the uncorrected formation energy, the calculation gives -613 meV per atom.

6.
A relaxed structure of CsLi2NbCl8, computed with PBE-GGA.

abc: 6.452 6.442 9.555
angles: 83.08 83.15 70.55
Fractional coordinates of all 12 atoms:
Cs (0.000, 0.000, 0.500)
Li (0.500, 0.500, 0.658)
Li (0.500, 0.500, 0.342)
Nb (0.000, 0.000, 0.000)
Cl (0.195, 0.736, 0.180)
Cl (0.780, 0.781, 0.986)
Cl (0.737, 0.197, 0.179)
Cl (0.805, 0.264, 0.820)
Cl (0.220, 0.219, 0.014)
Cl (0.263, 0.803, 0.821)
Cl (0.667, 0.667, 0.472)
Cl (0.333, 0.333, 0.528)

## Properties
The spin magnetization is 0.000 μB/atom. The calculation puts the total energy at -3.965 eV/atom. As for the space-group type: P-1. For the uncorrected formation energy, the calculation gives -1504 meV per atom.

7.
A relaxed structure of Cs2Li2NdCl6, computed with PBE-GGA.

abc: 7.323 7.323 8.017
angles: 90.00 90.00 120.00
Site moments in Bohr magnetons follow the coordinates.
Fractional coordinates of all 11 atoms:
Cs (0.667, 0.333, 0.628)  0.01
Cs (0.333, 0.667, 0.372)  0.01
Li (0.333, 0.667, 0.860)  0.01
Li (0.667, 0.333, 0.140)  0.01
Nd (0.000, 0.000, 0.000)  0.18
Cl (0.163, 0.328, 0.761)  0.00
Cl (0.672, 0.835, 0.761)  0.00
Cl (0.165, 0.837, 0.761)  0.00
Cl (0.837, 0.672, 0.239)  0.00
Cl (0.328, 0.165, 0.239)  0.00
Cl (0.835, 0.163, 0.239)  0.00

## Properties
The spin magnetization is 0.055 μB/atom. The calculation puts the total energy at -3.747 eV/atom. As for the space-group type: P-3. For the uncorrected formation energy, the calculation gives -1803 meV per atom.

8.
A relaxed structure of Cs2LiNdCl6, computed with PBE-GGA.

abc: 7.618 7.618 7.618
angles: 60.00 60.00 60.00
Fractional coordinates of all 10 atoms:
Cs (0.750, 0.750, 0.750)
Cs (0.250, 0.250, 0.250)
Li (0.500, 0.500, 0.500)
Nd (0.000, 0.000, 0.000)
Cl (0.746, 0.254, 0.254)
Cl (0.254, 0.254, 0.746)
Cl (0.254, 0.746, 0.746)
Cl (0.254, 0.746, 0.254)
Cl (0.746, 0.254, 0.746)
Cl (0.746, 0.746, 0.254)

## Properties
The spin magnetization is 0.000 μB/atom. The calculation puts the total energy at -4.059 eV/atom. As for the space-group type: Fm-3m. For the uncorrected formation energy, the calculation gives -2112 meV per atom.

9.
A relaxed structure of CsLiNd2Cl8, computed with PBE-GGA.

abc: 7.038 6.925 8.734
angles: 89.97 89.97 81.63
Fractional coordinates of all 12 atoms:
Cs (0.000, 0.000, 0.500)
Li (0.000, 0.000, 0.000)
Nd (0.500, 0.500, 0.762)
Nd (0.500, 0.500, 0.238)
Cl (0.185, 0.771, 0.198)
Cl (0.654, 0.696, 0.000)
Cl (0.815, 0.229, 0.198)
Cl (0.815, 0.229, 0.802)
Cl (0.346, 0.304, 0.000)
Cl (0.185, 0.771, 0.802)
Cl (0.635, 0.685, 0.500)
Cl (0.365, 0.315, 0.500)

## Properties
The spin magnetization is 0.000 μB/atom. The calculation puts the total energy at -4.354 eV/atom. As for the space-group type: P2/m. For the uncorrected formation energy, the calculation gives -2098 meV per atom.

10.
A relaxed structure of CsLiNdCl5, computed with PBE-GGA.

abc: 7.852 7.852 10.450
angles: 104.09 104.09 106.69
Fractional coordinates of all 16 atoms:
Cs (0.342, 0.658, 0.250)
Cs (0.658, 0.342, 0.750)
Li (0.691, 0.309, 0.250)
Li (0.309, 0.691, 0.750)
Nd (0.000, 0.000, 0.500)
Nd (0.000, 0.000, 0.000)
Cl (0.070, 0.930, 0.250)
Cl (0.930, 0.070, 0.750)
Cl (0.893, 0.294, 0.106)
Cl (0.107, 0.706, 0.894)
Cl (0.706, 0.107, 0.394)
Cl (0.294, 0.893, 0.606)
Cl (0.767, 0.627, 0.410)
Cl (0.233, 0.373, 0.590)
Cl (0.373, 0.233, 0.090)
Cl (0.627, 0.767, 0.910)

## Properties
The spin magnetization is 0.000 μB/atom. The calculation puts the total energy at -4.202 eV/atom. As for the space-group type: C2/c. For the uncorrected formation energy, the calculation gives -2106 meV per atom.

11.
A relaxed structure of CsLiNiCl4, computed with PBE-GGA.

abc: 6.712 7.135 8.947
angles: 90.00 105.41 90.00
Site moments in Bohr magnetons follow the coordinates.
Fractional coordinates of all 14 atoms:
Cs (0.735, 0.750, 0.931)  0.00
Cs (0.265, 0.250, 0.069)  0.00
Li (0.877, 0.750, 0.490)  0.00
Li (0.123, 0.250, 0.510)  0.00
Ni (0.231, 0.750, 0.327)  1.43
Ni (0.769, 0.250, 0.673)  1.43
Cl (0.011, 0.481, 0.694)  0.09
Cl (0.989, 0.981, 0.306)  0.09
Cl (0.989, 0.519, 0.306)  0.09
Cl (0.011, 0.019, 0.694)  0.09
Cl (0.298, 0.750, 0.094)  0.11
Cl (0.702, 0.250, 0.906)  0.11
Cl (0.530, 0.750, 0.504)  0.10
Cl (0.470, 0.250, 0.496)  0.10

## Properties
The spin magnetization is 0.286 μB/atom. The calculation puts the total energy at -3.555 eV/atom. As for the space-group type: P2_1/m. For the uncorrected formation energy, the calculation gives -1279 meV per atom.

12.
A relaxed structure of Cs2LiNiCl6, computed with PBE-GGA.

abc: 6.118 7.296 7.296
angles: 120.00 90.00 90.00
Site moments in Bohr magnetons follow the coordinates.
Fractional coordinates of all 10 atoms:
Cs (0.239, 0.333, 0.667)  0.00
Cs (0.761, 0.667, 0.333)  0.00
Li (0.500, 0.000, 0.000)  0.00
Ni (0.000, 0.000, 0.000)  0.71
Cl (0.776, 0.149, 0.299)  0.04
Cl (0.776, 0.149, 0.851)  0.04
Cl (0.776, 0.701, 0.851)  0.04
Cl (0.224, 0.851, 0.149)  0.04
Cl (0.224, 0.299, 0.149)  0.04
Cl (0.224, 0.851, 0.701)  0.04

## Properties
The spin magnetization is 0.100 μB/atom. The calculation puts the total energy at -3.434 eV/atom. As for the space-group type: P-3m1. For the uncorrected formation energy, the calculation gives -1385 meV per atom.